# Cs2LiMnO4

A crystal of Cs2LiMnO4 relaxed with PBEsol (meta-GGA SCAN, Alexandria).

Values from the calculation:
Fermi-level density of states: 0.0 states/eV/cell
Formation energy (no corrections): -2028 meV per atom
Uncorrected energy: -17.18 eV/atom

a b c (Å): 5.946 11.964 8.102
angles (deg): 90.00 90.00 90.00
Space group Cmc2_1 (No. 36)
Symmetry-distinct sites (fractional):
1 Cs 0.000 0.070 0.000 x4
2 Cs 0.000 0.393 0.862 x4
3 Li 0.000 0.207 0.582 x4
4 Mn 0.000 0.303 0.301 x4
5 O 0.000 0.164 0.347 x4
6 O 0.000 0.362 0.493 x4
7 O 0.235 0.340 0.198 x8

---

# CsLiMnS2

A crystal of CsLiMnS2 relaxed with PBEsol (meta-GGA SCAN, Alexandria).

Values from the calculation:
Fermi-level density of states: 0.0 states/eV/cell
Formation energy (no corrections): -1418 meV per atom
Uncorrected energy: -16.96 eV/atom

a b c (Å): 4.089 4.089 13.800
angles (deg): 90.00 90.00 90.00
Space group I-4m2 (No. 119)
Symmetry-distinct sites (fractional):
1 Cs 0.000 0.000 0.000 x2
2 Li 0.000 0.500 0.250 x2
3 Mn 0.000 0.500 0.750 x2
4 S 0.000 0.000 0.343 x4

---

# Cs3LiMo

A crystal of Cs3LiMo relaxed with PBEsol (meta-GGA SCAN, Alexandria).

Values from the calculation:
ΔH_f (0 K): 1.03 eV/atom
Fermi-level density of states: 2.7 states/eV/cell
Uncorrected energy: -29.11 eV/atom

a b c (Å): 7.374 7.374 7.374
angles (deg): 90.00 90.00 90.00
Space group Pm-3m (No. 221)
Symmetry-distinct sites (fractional):
1 Cs 0.000 0.000 0.500 x3
2 Li 0.500 0.500 0.500 x1
3 Mo 0.000 0.000 0.000 x1

---

# CsLi2MoPd

A crystal of CsLi2MoPd relaxed with PBEsol (meta-GGA SCAN, Alexandria).

Values from the calculation:
ΔH_f (0 K): 0.85 eV/atom
Fermi-level density of states: 2.4 states/eV/cell
Uncorrected energy: -21.20 eV/atom

a b c (Å): 5.414 5.414 4.777
angles (deg): 90.00 90.00 90.00
Space group P4/mmm (No. 123)
Symmetry-distinct sites (fractional):
1 Cs 0.000 0.000 0.000 x1
2 Li 0.000 0.500 0.500 x2
3 Mo 0.500 0.500 0.500 x1
4 Pd 0.500 0.500 0.000 x1

---

# CsRb2LiMo

A crystal of CsRb2LiMo relaxed with PBEsol (meta-GGA SCAN, Alexandria).

Values from the calculation:
ΔH_f (0 K): 1.06 eV/atom
Fermi-level density of states: 2.6 states/eV/cell
Uncorrected energy: -22.26 eV/atom

a b c (Å): 7.139 7.139 7.286
angles (deg): 90.00 90.00 90.00
Space group P4/mmm (No. 123)
Symmetry-distinct sites (fractional):
1 Cs 0.000 0.000 0.000 x1
2 Rb 0.000 0.500 0.500 x2
3 Li 0.500 0.500 0.000 x1
4 Mo 0.000 0.000 0.500 x1

---

# CsLiN2

A crystal of CsLiN2 relaxed with PBEsol (meta-GGA SCAN, Alexandria).

Values from the calculation:
Fermi-level density of states: 4.2 states/eV/cell
Formation energy (no corrections): 1251 meV per atom
Uncorrected energy: -13.44 eV/atom

a b c (Å): 4.0541 4.0541 22.6031
angles (deg): 90.00 90.00 120.00
Space group R-3m (No. 166, hexagonal axes)
Symmetry-distinct sites (fractional):
1 Cs 0.0000 0.0000 0.0000 x3
2 Li 0.0000 0.0000 0.5000 x3
3 N 0.0000 0.0000 0.4143 x6

---

# Cs3LiN

A crystal of Cs3LiN relaxed with PBEsol (meta-GGA SCAN, Alexandria).

Values from the calculation:
Fermi-level density of states: 2.1 states/eV/cell
Energy relative to the lowest polymorph listed for this composition: 0.0 kJ per mole of atoms
Formation energy (no corrections): 428 meV per atom
Uncorrected energy: -24.59 eV/atom

a b c (Å): 6.087 6.087 6.087
angles (deg): 90.00 90.00 90.00
Space group Pm-3m (No. 221)
Symmetry-distinct sites (fractional):
1 Cs 0.000 0.000 0.500 x3
2 Li 0.500 0.500 0.500 x1
3 N 0.000 0.000 0.000 x1

---

# CsLiSN2

A crystal of CsLiSN2 relaxed with PBEsol (meta-GGA SCAN, Alexandria).

Values from the calculation:
Fermi-level density of states: 1.6 states/eV/cell
Formation energy (no corrections): 1922 meV per atom
Uncorrected energy: -11.76 eV/atom

a b c (Å): 4.850 4.850 5.628
angles (deg): 90.00 90.00 90.00
Space group P4/mmm (No. 123)
Symmetry-distinct sites (fractional):
1 Cs 0.000 0.000 0.000 x1
2 Li 0.500 0.500 0.500 x1
3 S 0.000 0.000 0.500 x1
4 N 0.000 0.500 0.000 x2

---

# CsNa2Li

A crystal of CsNa2Li relaxed with PBEsol (meta-GGA SCAN, Alexandria).

Values from the calculation:
ΔH_f (0 K): 0.15 eV/atom
Fermi-level density of states: 10.6 states/eV/cell
Uncorrected energy: -12.00 eV/atom

a b c (Å): 9.099 9.099 9.099
angles (deg): 90.00 90.00 90.00
Space group Fm-3m (No. 225)
Symmetry-distinct sites (fractional):
1 Cs 0.000 0.000 0.000 x4
2 Na 0.250 0.250 0.250 x8
3 Li 0.000 0.000 0.500 x4

---

# Cs2NaLi

A crystal of Cs2NaLi relaxed with PBEsol (meta-GGA SCAN, Alexandria).

Values from the calculation:
ΔH_f (0 K): 0.12 eV/atom
Fermi-level density of states: 7.6 states/eV/cell
Uncorrected energy: -20.44 eV/atom

a b c (Å): 9.975 9.975 9.975
angles (deg): 90.00 90.00 90.00
Space group Fm-3m (No. 225)
Symmetry-distinct sites (fractional):
1 Cs 0.250 0.250 0.250 x8
2 Na 0.000 0.000 0.000 x4
3 Li 0.000 0.000 0.500 x4

---

# CsNaLi2Ru

A crystal of CsNaLi2Ru relaxed with PBEsol (meta-GGA SCAN, Alexandria).

Values from the calculation:
ΔH_f (0 K): 0.79 eV/atom
Fermi-level density of states: 2.1 states/eV/cell
Uncorrected energy: -15.53 eV/atom

a b c (Å): 5.127 5.127 5.298
angles (deg): 90.00 90.00 90.00
Space group P4/mmm (No. 123)
Symmetry-distinct sites (fractional):
1 Cs 0.000 0.000 0.000 x1
2 Na 0.500 0.500 0.000 x1
3 Li 0.000 0.500 0.500 x2
4 Ru 0.000 0.000 0.500 x1

---

# CsNa2LiSi

A crystal of CsNa2LiSi relaxed with PBEsol (meta-GGA SCAN, Alexandria).

Values from the calculation:
Fermi-level density of states: 0.3 states/eV/cell
Formation energy (no corrections): 12 meV per atom
Uncorrected energy: -11.72 eV/atom

a b c (Å): 5.716 5.716 5.193
angles (deg): 90.00 90.00 90.00
Space group P4/mmm (No. 123)
Symmetry-distinct sites (fractional):
1 Cs 0.000 0.000 0.000 x1
2 Na 0.000 0.500 0.500 x2
3 Li 0.500 0.500 0.000 x1
4 Si 0.500 0.500 0.500 x1

---

# CsLiNb2

A crystal of CsLiNb2 relaxed with PBEsol (meta-GGA SCAN, Alexandria).

Values from the calculation:
ΔH_f (0 K): 1.31 eV/atom
Fermi-level density of states: 11.0 states/eV/cell
Uncorrected energy: -25.30 eV/atom

a b c (Å): 3.900 3.900 23.447
angles (deg): 90.00 90.00 90.00
Space group I-42d (No. 122)
Symmetry-distinct sites (fractional):
1 Cs 0.000 0.000 0.000 x4
2 Li 0.000 0.000 0.500 x4
3 Nb 0.234 0.750 0.625 x8

---

# CsLi2NbPb

A crystal of CsLi2NbPb relaxed with PBEsol (meta-GGA SCAN, Alexandria).

Values from the calculation:
ΔH_f (0 K): 0.37 eV/atom
Fermi-level density of states: 1.1 states/eV/cell
Uncorrected energy: -29.93 eV/atom

a b c (Å): 5.442 5.442 5.629
angles (deg): 90.00 90.00 90.00
Space group P4/mmm (No. 123)
Symmetry-distinct sites (fractional):
1 Cs 0.000 0.000 0.000 x1
2 Li 0.000 0.500 0.500 x2
3 Nb 0.500 0.500 0.000 x1
4 Pb 0.500 0.500 0.500 x1